Cu3IrW: relaxed, PBE.

```
Cu3IrW
1.0
-3.3694 -1.3191 2.7689
2.9871 -0.4782 3.4071
-0.6958 4.3349 1.2184
Ir Cu W
1 3 1
Direct
0.0000 0.0000 0.0000
0.0000 0.5000 0.0000
0.0000 0.0000 0.5000
0.5000 0.0000 0.0000
0.5000 0.5000 0.5000
```

Space-group type   Pm-3m
Uncorrected energy   -4.994 eV/atom
Energy relative to the elements   1.827 eV per atom